An optimized crystal structure of BaCaGe2Au5. Source: the Alexandria database, functional PBE-GGA.

Unit cell a=5.1301 b=5.1301 c=8.5666 alpha=90.00 beta=90.00 gamma=90.00
Last column: nearest neighbours and their distance in Å.
Space group P4/mmm (No. 123)
Asymmetric unit:
Ba  0.0000  0.0000  0.0000 [1 per cell]  12 Au 3.63-3.64
Ca  0.0000  0.0000  0.5000 [1 per cell]  8 Au 3.08
Ge  0.5000  0.5000  0.3044 [2 per cell]  5 Au 2.57-2.61
Au  0.0000  0.5000  0.3013 [4 per cell]  2 Ge 2.57
Au  0.5000  0.5000  0.0000 [1 per cell]  2 Ge 2.61

Calculated values
Density of states at the Fermi level (states/eV per cell): 3.96
Energy of formation from the pure elements (eV/atom): -0.436